No. 1
First-principles (PBE) data for an optimized crystal structure of La7Tb2Dy3, as listed in the Alexandria database.

Lattice parameters (Å, degrees): 6.5451 3.5831 17.8128 90.00 95.61 90.00
Space group P2/m (No. 10)
Unique sites:
La 0.0000 0.0000 0.0000 (multiplicity 1)
La 0.2252 0.5000 0.1727 (multiplicity 2)
La 0.2616 0.5000 0.4907 (multiplicity 2)
La 0.2777 0.0000 0.8324 (multiplicity 2)
Tb 0.0585 0.5000 0.6695 (multiplicity 2)
Dy 0.4570 0.0000 0.3378 (multiplicity 2)
Dy 0.5000 0.5000 0.0000 (multiplicity 1)

total moment: 0.000 μB per atom
DFT formation energy: 0.064 eV/atom


No. 2
First-principles (PBE) data for an optimized crystal structure of GaTcI3, as listed in the Alexandria database.

Lattice parameters (Å, degrees): 5.6788 5.6788 5.6788 90.00 90.00 90.00
Space group Pm-3m (No. 221)
Unique sites:
Ga 0.0000 0.0000 0.0000 (multiplicity 1)
Tc 0.5000 0.5000 0.5000 (multiplicity 1)
I 0.0000 0.0000 0.5000 (multiplicity 3)

total moment: 1.016 μB per atom
E above lowest polymorph: 536 meV per atom


No. 3
First-principles (PBE) data for an optimized crystal structure of ThGeHIr, as listed in the Alexandria database.

Lattice parameters (Å, degrees): 4.1866 4.1866 7.4207 90.00 90.00 90.00
Space group P4/nmm (No. 129, origin choice 2)
Unique sites:
Th 0.2500 0.2500 0.1740 (multiplicity 2)
Ge 0.2500 0.2500 0.6968 (multiplicity 2)
H 0.2500 0.7500 0.0000 (multiplicity 2)
Ir 0.2500 0.7500 0.5000 (multiplicity 2)

final energy: -6.835 eV per atom
total moment: 0.000 μB per atom


No. 4
First-principles (PBE) data for an optimized crystal structure of CrCuTc2, as listed in the Alexandria database.

Lattice parameters (Å, degrees): 3.7461 3.7461 7.5724 90.00 90.00 90.00
Space group I-4m2 (No. 119)
Unique sites:
Cr 0.0000 0.0000 0.0000 (multiplicity 2)
Cu 0.0000 0.5000 0.2500 (multiplicity 2)
Tc 0.0000 0.0000 0.5000 (multiplicity 2)
Tc 0.0000 0.5000 0.7500 (multiplicity 2)

total moment: 0.126 μB per atom
DFT formation energy: 0.206 eV/atom
E above lowest polymorph: 10 meV per atom


No. 5
First-principles (PBE) data for an optimized crystal structure of BeBiIr3, as listed in the Alexandria database.

Lattice parameters (Å, degrees): 4.9481 4.9481 4.9481 90.00 90.00 90.00
Space group Pm-3m (No. 221)
Unique sites:
Be 0.0000 0.0000 0.0000 (multiplicity 1)
Bi 0.5000 0.5000 0.5000 (multiplicity 1)
Ir 0.0000 0.5000 0.5000 (multiplicity 3)

total moment: 0.000 μB per atom
DFT formation energy: 2.401 eV/atom
E above lowest polymorph: 2023 meV per atom


No. 6
First-principles (PBE) data for an optimized crystal structure of Te2PbCl, as listed in the Alexandria database.

Lattice parameters (Å, degrees): 3.7387 6.1856 13.4759 90.00 90.00 90.00
Space group Imm2 (No. 44)
Unique sites:
Te 0.0000 0.0000 0.0000 (multiplicity 2)
Te 0.0000 0.5000 0.3298 (multiplicity 2)
Pb 0.0000 0.0000 0.3941 (multiplicity 2)
Cl 0.0000 0.5000 0.7427 (multiplicity 2)

total moment: 0.000 μB per atom
E above lowest polymorph: 160 meV per atom


No. 7
First-principles (PBE) data for an optimized crystal structure of Ca2Al5Ga3, as listed in the Alexandria database.

Lattice parameters (Å, degrees): 4.3304 4.3304 11.0797 90.00 90.00 90.00
Space group P-4m2 (No. 115)
Unique sites:
Ca 0.0000 0.5000 0.2483 (multiplicity 2)
Al 0.0000 0.0000 0.5000 (multiplicity 1)
Al 0.0000 0.5000 0.6382 (multiplicity 2)
Al 0.5000 0.5000 0.0000 (multiplicity 1)
Al 0.5000 0.5000 0.5000 (multiplicity 1)
Ga 0.0000 0.0000 0.0000 (multiplicity 1)
Ga 0.0000 0.5000 0.8654 (multiplicity 2)

total moment: 0.000 μB per atom
DFT formation energy: -0.280 eV/atom
E above lowest polymorph: 10 meV per atom


No. 8
First-principles (PBE) data for an optimized crystal structure of Ca5MgCd3, as listed in the Alexandria database.

Lattice parameters (Å, degrees): 9.6822 9.6822 6.8091 90.00 90.00 120.00
Space group P6_3/mcm (No. 193)
Unique sites:
Ca 0.0000 0.3050 0.2500 (multiplicity 6)
Ca 0.3333 0.6667 0.0000 (multiplicity 4)
Mg 0.0000 0.0000 0.0000 (multiplicity 2)
Cd 0.0000 0.3586 0.7500 (multiplicity 6)

total moment: 0.000 μB per atom
DFT formation energy: -0.213 eV/atom


No. 9
First-principles (PBE) data for an optimized crystal structure of TePS2N, as listed in the Alexandria database.

Lattice parameters (Å, degrees): 4.3375 4.3375 4.1561 90.00 90.00 90.00
Space group P4/mmm (No. 123)
Unique sites:
Te 0.0000 0.0000 0.0000 (multiplicity 1)
P 0.5000 0.5000 0.0000 (multiplicity 1)
S 0.0000 0.5000 0.5000 (multiplicity 2)
N 0.5000 0.5000 0.5000 (multiplicity 1)

total moment: 0.000 μB per atom
E above lowest polymorph: 452 meV per atom


No. 10
First-principles (PBE) data for an optimized crystal structure of Tb4Zn2In, as listed in the Alexandria database.

Lattice parameters (Å, degrees): 5.0071 5.0071 27.2505 90.00 90.00 120.00
Space group R-3m (No. 166, hexagonal axes)
Unique sites:
Tb 0.0000 0.0000 0.1185 (multiplicity 6)
Tb 0.0000 0.0000 0.2957 (multiplicity 6)
Zn 0.0000 0.0000 0.4020 (multiplicity 6)
In 0.0000 0.0000 0.5000 (multiplicity 3)

total moment: 0.000 μB per atom
DFT formation energy: -0.099 eV/atom
E above lowest polymorph: 126 meV per atom


Which value of total moment does entry 4 give? 0.126 μB per atom


What is the total moment in the tenth record? 0.000 μB per atom